The following is a DFT calculation (PBE) of a geometry-optimized NiBi2PC structure.

Properties
magnetic moment: 0.00 μB/atom
E_form: 0.702 eV/atom
V: 20.2 A^3/atom
total DFT energy (no corrections): -4.93 eV/atom

CIF file:
```
data_NiBi2PC
_chemical_formula_sum 'Ni1 Bi2 P1 C1'
_cell_length_a 5.382
_cell_length_b 3.491
_cell_length_c 5.382
_cell_angle_alpha 90.00
_cell_angle_beta 90.00
_cell_angle_gamma 90.00
_symmetry_space_group_name_H-M 'P 1'
_symmetry_Int_Tables_number 1
loop_
_symmetry_equiv_pos_as_xyz
'x,y,z'
loop_
_atom_site_label
_atom_site_fract_x
_atom_site_fract_y
_atom_site_fract_z
C1 0.000 0.500 0.000
Bi1 0.500 0.000 0.000
P1 0.500 0.500 0.500
Bi2 0.000 0.000 0.500
Ni1 0.000 0.000 0.000
```

***

The following is a DFT calculation (PBE) of a geometry-optimized Ni2BiPdC structure.

Properties
magnetic moment: 0.18 μB/atom
E_form: 2.003 eV/atom
V: 20.3 A^3/atom
total DFT energy (no corrections): -3.97 eV/atom

CIF file:
```
data_Ni2BiPdC
_chemical_formula_sum 'Ni2 Bi1 Pd1 C1'
_cell_length_a 4.772
_cell_length_b 4.450
_cell_length_c 4.772
_cell_angle_alpha 90.00
_cell_angle_beta 90.00
_cell_angle_gamma 90.00
_symmetry_space_group_name_H-M 'P 1'
_symmetry_Int_Tables_number 1
loop_
_symmetry_equiv_pos_as_xyz
'x,y,z'
loop_
_atom_site_label
_atom_site_fract_x
_atom_site_fract_y
_atom_site_fract_z
Ni1 0.500 0.000 0.000
Pd1 0.500 0.500 0.500
Bi1 0.000 0.000 0.000
C1 0.000 0.500 0.000
Ni2 0.000 0.000 0.500
```

***

The following is a DFT calculation (PBE) of a geometry-optimized NiBiPtC2 structure.

Properties
magnetic moment: 0.00 μB/atom
E_form: 1.460 eV/atom
V: 15.8 A^3/atom
total DFT energy (no corrections): -5.37 eV/atom

CIF file:
```
data_NiBiPtC2
_chemical_formula_sum 'Ni1 Bi1 Pt1 C2'
_cell_length_a 3.941
_cell_length_b 5.095
_cell_length_c 3.941
_cell_angle_alpha 90.00
_cell_angle_beta 90.00
_cell_angle_gamma 90.00
_symmetry_space_group_name_H-M 'P 1'
_symmetry_Int_Tables_number 1
loop_
_symmetry_equiv_pos_as_xyz
'x,y,z'
loop_
_atom_site_label
_atom_site_fract_x
_atom_site_fract_y
_atom_site_fract_z
Pt1 0.000 0.000 0.000
C1 0.000 0.000 0.500
Bi1 0.500 0.500 0.500
C2 0.500 0.000 0.000
Ni1 0.000 0.500 0.000
```